No. 1
MgNi | GGA-PBE | relaxed

E_form in kJ/mol of atoms: 92.7
DOS at the Fermi energy in states/eV/cell: 14.7
Energy in eV/cell: -21.8

Cell and atoms, written as CIF:
```
data_MgNi
_space_group_name_H-M_alt 'F -4 3 m'
_space_group_IT_number 216
_space_group_name_Hall 'F -4 2 3'
_cell_length_a 5.676
_cell_length_b 5.676
_cell_length_c 5.676
_cell_angle_alpha 90.00
_cell_angle_beta 90.00
_cell_angle_gamma 90.00
loop_
_atom_site_label
_atom_site_type_symbol
_atom_site_fract_x
_atom_site_fract_y
_atom_site_fract_z
_atom_site_occupancy
Mg1 Mg 0.000 0.000 0.000 1
Ni1 Ni 0.250 0.250 0.750 1
```

---

No. 2
Sb2SI3 | GGA-PBE | relaxed

DOS at the Fermi energy in states/eV/cell: 5.4
Formation energy (no corrections) in meV/atom: -161
Energy in eV/cell: -71.9

Cell and atoms, written as CIF:
```
data_Sb2SI3
_space_group_name_H-M_alt 'C 1 2/m 1'
_space_group_IT_number 12
_cell_length_a 17.519
_cell_length_b 4.034
_cell_length_c 14.017
_cell_angle_alpha 90.00
_cell_angle_beta 98.53
_cell_angle_gamma 90.00
loop_
_space_group_symop_operation_xyz
'x,y,z'
'-x,-y,-z'
'-x,y,-z'
'x,-y,z'
'x+1/2,y+1/2,z'
'-x+1/2,-y+1/2,-z'
'-x+1/2,y+1/2,-z'
'x+1/2,-y+1/2,z'
loop_
_atom_site_label
_atom_site_type_symbol
_atom_site_fract_x
_atom_site_fract_y
_atom_site_fract_z
_atom_site_occupancy
Sb1 Sb 0.077 0.000 0.255 1
Sb2 Sb 0.114 0.500 0.987 1
S1 S 0.029 0.500 0.120 1
I1 I 0.070 0.000 0.694 1
I2 I 0.148 0.500 0.406 1
I3 I 0.231 0.000 0.135 1
```